Entry 1:
Below is crystalline AlSnIN2 at its relaxed geometry, with properties calculated at the GGA-PBEsol level.

* formation energy (no corrections): 0.828 eV per atom
* crystal system: tetragonal
* E: -4.6065 eV/atom

Structure (POSCAR):
```
AlSnIN2
1.0
4.018 0.000 0.000
0.000 4.018 0.000
0.000 0.000 5.464
I N Sn Al
1 2 1 1
Direct
0.000 0.000 0.500 I
0.000 0.500 0.000 N
0.500 0.000 0.000 N
0.500 0.500 0.500 Sn
0.000 0.000 0.000 Al
```

Entry 2:
Below is crystalline TaMnRu2 at its relaxed geometry, with properties calculated at the GGA-PBEsol level.

* crystal system: tetragonal
* E: -10.8437 eV/atom
* E above lowest polymorph: 0.0 meV per atom

Structure (POSCAR):
```
TaMnRu2
1.0
-1.834 -2.180 -1.362
1.256 -2.855 2.879
-3.219 1.130 2.525
Ru Mn Ta
2 1 1
Direct
0.000 0.000 0.500 Ru
0.000 0.500 0.000 Ru
0.500 0.000 0.000 Mn
0.500 0.500 0.500 Ta
```

Entry 3:
Below is crystalline KY at its relaxed geometry, with properties calculated at the GGA-PBEsol level.

* crystal system: trigonal
* E: -3.6882 eV/atom

Structure (POSCAR):
```
KY
1.0
3.722 0.000 0.000
1.861 3.223 0.000
1.861 1.074 13.923
K Y
2 2
Direct
0.117 0.117 0.649 K
0.883 0.883 0.351 K
0.635 0.635 0.095 Y
0.365 0.365 0.905 Y
```

Entry 4:
Below is crystalline Fe2OsPb at its relaxed geometry, with properties calculated at the GGA-PBEsol level.

* crystal system: orthorhombic
* E: -7.7970 eV/atom

Structure (POSCAR):
```
Fe2OsPb
1.0
3.145 0.000 0.000
0.000 4.429 0.000
-1.572 -2.215 4.312
Fe Os Pb
2 1 1
Direct
0.760 0.760 0.520 Fe
0.240 0.240 0.480 Fe
0.500 0.000 0.000 Os
0.000 0.500 0.000 Pb
```

Entry 5:
Below is crystalline La2YTl at its relaxed geometry, with properties calculated at the GGA-PBEsol level.

* crystal system: monoclinic
* E: -5.2773 eV/atom
* E above lowest polymorph: 13.1 meV per atom

Structure (POSCAR):
```
La2YTl
1.0
-1.387 -2.926 -1.631
4.703 -3.264 1.858
-4.124 1.623 4.625
Y Tl La
1 1 2
Direct
0.228 0.658 0.456 Y
0.503 0.591 0.006 Tl
0.995 0.050 0.991 La
0.774 0.201 0.548 La
```

Entry 6:
Below is crystalline GeSbWI2 at its relaxed geometry, with properties calculated at the GGA-PBEsol level.

* formation energy (no corrections): 1.001 eV per atom
* crystal system: tetragonal
* E: -4.3666 eV/atom

Structure (POSCAR):
```
GeSbWI2
1.0
-0.927 0.964 -5.105
0.682 -5.196 -1.105
-5.228 -0.854 0.788
I Sb Ge W
2 1 1 1
Direct
0.000 0.000 0.500 I
0.000 0.500 0.000 I
0.500 0.000 0.000 Sb
0.500 0.500 0.500 Ge
0.000 0.000 0.000 W
```

Entry 7:
Below is crystalline Zr2NiRh at its relaxed geometry, with properties calculated at the GGA-PBEsol level.

* crystal system: tetragonal
* E: -8.6684 eV/atom

Structure (POSCAR):
```
Zr2NiRh
1.0
-1.652 -2.065 1.793
2.291 -2.185 -0.406
3.023 2.186 5.301
Ni Rh Zr
1 1 2
Direct
0.500 0.500 0.500 Ni
0.500 0.500 0.000 Rh
0.000 0.000 0.257 Zr
0.000 0.000 0.743 Zr
```

Entry 8:
Below is crystalline Y6MnBi2 at its relaxed geometry, with properties calculated at the GGA-PBEsol level.

* crystal system: hexagonal
* E: -7.0309 eV/atom

Structure (POSCAR):
```
Y6MnBi2
1.0
-4.110 0.910 -0.258
-1.840 -7.768 1.912
0.865 5.595 5.944
Y Mn Bi
6 1 2
Direct
0.500 0.000 0.395 Y
0.500 0.395 0.000 Y
0.500 0.605 0.605 Y
0.000 0.000 0.767 Y
0.000 0.767 0.000 Y
0.000 0.233 0.233 Y
0.500 0.000 0.000 Mn
0.000 0.667 0.333 Bi
0.000 0.333 0.667 Bi
```

Entry 9:
Below is crystalline Zr2Be2Ir at its relaxed geometry, with properties calculated at the GGA-PBEsol level.

* crystal system: tetragonal
* E: -7.7151 eV/atom

Structure (POSCAR):
```
Zr2Be2Ir
1.0
3.569 0.000 0.000
0.000 6.370 0.000
0.000 0.000 6.370
Be Ir Zr
4 2 4
Direct
0.000 0.380 0.880 Be
0.000 0.880 0.620 Be
0.000 0.620 0.120 Be
0.000 0.120 0.380 Be
0.000 0.000 0.000 Ir
0.000 0.500 0.500 Ir
0.500 0.178 0.678 Zr
0.500 0.678 0.822 Zr
0.500 0.822 0.322 Zr
0.500 0.322 0.178 Zr
```

Entry 10:
Below is crystalline ScReMo at its relaxed geometry, with properties calculated at the GGA-PBEsol level.

* crystal system: tetragonal
* E: -10.6755 eV/atom
* E above lowest polymorph: 0.0 meV per atom

Structure (POSCAR):
```
ScReMo
1.0
3.126 0.000 0.000
0.000 3.126 0.000
-1.563 -1.563 5.030
Sc Re Mo
1 1 1
Direct
0.332 0.332 0.663 Sc
0.653 0.653 0.306 Re
0.015 0.015 0.030 Mo
```

Entry 11:
Below is crystalline NaBSe3 at its relaxed geometry, with properties calculated at the GGA-PBEsol level.

* formation energy (no corrections): 0.236 eV per atom
* crystal system: cubic
* E: -3.7576 eV/atom

Structure (POSCAR):
```
NaBSe3
1.0
4.549 0.000 0.000
0.000 4.549 0.000
0.000 0.000 4.549
Na B Se
1 1 3
Direct
0.500 0.500 0.500 Na
0.000 0.000 0.000 B
0.000 0.500 0.000 Se
0.000 0.000 0.500 Se
0.500 0.000 0.000 Se
```

Entry 12:
Below is crystalline BiMoH3 at its relaxed geometry, with properties calculated at the GGA-PBEsol level.

* crystal system: cubic
* E: -3.6906 eV/atom
* E above lowest polymorph: 1141.1 meV per atom

Structure (POSCAR):
```
BiMoH3
1.0
-0.935 2.802 -2.864
-0.023 -2.944 -2.873
-4.006 -0.637 0.685
H Mo Bi
3 1 1
Direct
0.000 0.500 0.000 H
0.000 0.000 0.500 H
0.500 0.000 0.000 H
0.500 0.500 0.500 Mo
0.000 0.000 0.000 Bi
```

Entry 13:
Below is crystalline LiCdPb2 at its relaxed geometry, with properties calculated at the GGA-PBEsol level.

* crystal system: monoclinic
* E: -2.8494 eV/atom

Structure (POSCAR):
```
LiCdPb2
1.0
-1.751 -1.835 -2.198
-0.216 -3.300 5.020
-3.183 5.085 0.384
Pb Cd Li
2 1 1
Direct
0.000 0.500 0.000 Pb
0.000 0.000 0.500 Pb
0.500 0.000 0.000 Cd
0.500 0.500 0.500 Li
```

Entry 14:
Below is crystalline KCd2Ag at its relaxed geometry, with properties calculated at the GGA-PBEsol level.

* crystal system: orthorhombic
* E: -1.5153 eV/atom
* E above lowest polymorph: 162.7 meV per atom

Structure (POSCAR):
```
KCd2Ag
1.0
-1.897 3.207 2.392
-3.889 -0.490 -2.428
-1.574 -3.309 3.188
Ag Cd K
1 2 1
Direct
0.000 0.500 0.500 Ag
0.000 0.000 0.000 Cd
0.500 0.500 0.000 Cd
0.500 0.000 0.500 K
```

Entry 15:
Below is crystalline NbOsBr3 at its relaxed geometry, with properties calculated at the GGA-PBEsol level.

* formation energy (no corrections): 1.242 eV per atom
* crystal system: cubic
* E: -4.4871 eV/atom

Structure (POSCAR):
```
NbOsBr3
1.0
5.088 0.000 0.000
0.000 5.088 0.000
0.000 0.000 5.088
Nb Os Br
1 1 3
Direct
0.000 0.000 0.000 Nb
0.500 0.500 0.500 Os
0.000 0.500 0.000 Br
0.000 0.000 0.500 Br
0.500 0.000 0.000 Br
```

Entry 16:
Below is crystalline La2Ga7Au at its relaxed geometry, with properties calculated at the GGA-PBEsol level.

* crystal system: tetragonal
* E: -4.4279 eV/atom

Structure (POSCAR):
```
La2Ga7Au
1.0
-2.268 0.928 -3.642
-3.755 -0.736 2.150
-0.368 9.963 2.769
La Ga Au
2 7 1
Direct
0.000 0.000 0.994 La
0.500 0.500 0.494 La
0.000 0.500 0.250 Ga
0.500 0.000 0.749 Ga
0.500 0.000 0.250 Ga
0.000 0.500 0.749 Ga
0.000 0.000 0.620 Ga
0.000 0.000 0.384 Ga
0.500 0.500 0.884 Ga
0.500 0.500 0.124 Au
```

Entry 17:
Below is crystalline LaAlHg2H at its relaxed geometry, with properties calculated at the GGA-PBEsol level.

* crystal system: tetragonal
* E: -2.9953 eV/atom

Structure (POSCAR):
```
LaAlHg2H
1.0
-3.762 1.050 2.062
-2.441 -0.925 -3.983
-0.516 -4.532 1.368
H Al Hg La
1 1 2 1
Direct
0.000 0.000 0.000 H
0.500 0.500 0.500 Al
0.000 0.000 0.500 Hg
0.000 0.500 0.000 Hg
0.500 0.000 0.000 La
```

Entry 18:
Below is crystalline V9GaSiGe at its relaxed geometry, with properties calculated at the GGA-PBEsol level.

* formation energy (no corrections): -0.364 eV per atom
* crystal system: orthorhombic
* E: -8.7589 eV/atom

Structure (POSCAR):
```
V9GaSiGe
1.0
-0.233 -2.711 -3.818
4.144 1.632 -1.412
6.467 -10.380 6.978
V Ga Si Ge
18 2 2 2
Direct
0.500 0.000 0.752 V
0.500 0.000 0.414 V
0.500 0.000 0.082 V
0.244 0.500 0.004 V
0.251 0.500 0.667 V
0.254 0.500 0.329 V
0.000 0.757 0.837 V
0.000 0.755 0.500 V
0.000 0.745 0.164 V
0.500 0.000 0.920 V
0.500 0.000 0.584 V
0.500 0.000 0.249 V
0.756 0.500 0.004 V
0.749 0.500 0.667 V
0.746 0.500 0.329 V
0.000 0.243 0.837 V
0.000 0.245 0.500 V
0.000 0.255 0.164 V
0.500 0.500 0.835 Ga
0.500 0.500 0.498 Ga
0.500 0.500 0.166 Si
0.000 0.000 0.001 Si
0.000 0.000 0.668 Ge
0.000 0.000 0.331 Ge
```

Entry 19:
Below is crystalline ZrZnCr at its relaxed geometry, with properties calculated at the GGA-PBEsol level.

* crystal system: cubic
* E: -6.3700 eV/atom

Structure (POSCAR):
```
ZrZnCr
1.0
-3.658 -0.213 2.163
-1.757 -3.783 0.840
-0.032 -1.493 3.984
Cr Zn Zr
1 1 1
Direct
0.500 0.500 0.500 Cr
0.750 0.750 0.750 Zn
0.000 0.000 0.000 Zr
```

Entry 20:
Below is crystalline BeAlIN2 at its relaxed geometry, with properties calculated at the GGA-PBEsol level.

* formation energy (no corrections): 1.244 eV per atom
* crystal system: tetragonal
* E: -4.1382 eV/atom

Structure (POSCAR):
```
BeAlIN2
1.0
3.662 0.000 0.000
0.000 3.662 0.000
0.000 0.000 5.248
I Be Al N
1 1 1 2
Direct
0.000 0.000 0.500 I
0.000 0.000 0.000 Be
0.500 0.500 0.500 Al
0.000 0.500 0.000 N
0.500 0.000 0.000 N
```

Entry 21:
Below is crystalline Hf2CuIr at its relaxed geometry, with properties calculated at the GGA-PBEsol level.

* crystal system: cubic
* E: -9.3583 eV/atom

Structure (POSCAR):
```
Hf2CuIr
1.0
4.554 0.000 0.000
2.277 3.944 0.000
2.277 1.315 3.718
Ir Hf Cu
1 2 1
Direct
0.500 0.500 0.500 Ir
0.250 0.250 0.250 Hf
0.750 0.750 0.750 Hf
0.000 0.000 0.000 Cu
```

Entry 22:
Below is crystalline SrAgC2 at its relaxed geometry, with properties calculated at the GGA-PBEsol level.

* crystal system: cubic
* E: -4.3675 eV/atom
* E above lowest polymorph: 348.0 meV per atom

Structure (POSCAR):
```
SrAgC2
1.0
4.326 0.000 0.000
2.163 3.747 0.000
2.163 1.249 3.532
Sr C Ag
1 2 1
Direct
0.000 0.000 0.000 Sr
0.250 0.250 0.250 C
0.750 0.750 0.750 C
0.500 0.500 0.500 Ag
```

Entry 23:
Below is crystalline Sr2LaTl at its relaxed geometry, with properties calculated at the GGA-PBEsol level.

* crystal system: orthorhombic
* E: -2.9889 eV/atom
* E above lowest polymorph: 99.1 meV per atom

Structure (POSCAR):
```
Sr2LaTl
1.0
3.818 0.000 0.000
0.000 5.204 0.000
0.000 0.000 7.201
La Sr Tl
1 2 1
Direct
0.500 0.500 0.500 La
0.000 0.000 0.767 Sr
0.000 0.000 0.233 Sr
0.500 0.500 0.000 Tl
```

Entry 24:
Below is crystalline ZnNiAg2 at its relaxed geometry, with properties calculated at the GGA-PBEsol level.

* crystal system: trigonal
* E: -3.4705 eV/atom

Structure (POSCAR):
```
ZnNiAg2
1.0
2.759 0.000 0.000
1.379 2.389 0.000
1.379 0.796 8.724
Ag Ni Zn
2 1 1
Direct
0.252 0.252 0.244 Ag
0.748 0.748 0.756 Ag
0.000 0.000 0.000 Ni
0.500 0.500 0.500 Zn
```

Entry 25:
Below is crystalline Fe2Re at its relaxed geometry, with properties calculated at the GGA-PBEsol level.

* crystal system: cubic
* E: -10.4747 eV/atom

Structure (POSCAR):
```
Fe2Re
1.0
-0.213 -2.914 -3.553
2.046 -4.111 0.271
-2.545 -3.820 0.307
Fe Re
4 2
Direct
0.125 0.125 0.625 Fe
0.125 0.625 0.125 Fe
0.125 0.125 0.125 Fe
0.625 0.125 0.125 Fe
0.750 0.750 0.750 Re
0.500 0.500 0.500 Re
```

Entry 26:
Below is crystalline LiAgF4 at its relaxed geometry, with properties calculated at the GGA-PBEsol level.

* formation energy (no corrections): -1.631 eV per atom
* crystal system: monoclinic
* E: -3.7958 eV/atom
* E above lowest polymorph: 94.5 meV per atom

Structure (POSCAR):
```
LiAgF4
1.0
5.368 -0.194 0.000
-2.619 7.458 0.000
0.000 0.000 7.832
Li Ag F
4 4 16
Direct
0.630 0.195 0.750 Li
0.976 0.408 0.250 Li
0.024 0.592 0.750 Li
0.370 0.805 0.250 Li
0.000 0.000 0.500 Ag
0.000 0.000 0.000 Ag
0.500 0.500 0.500 Ag
0.500 0.500 0.000 Ag
0.634 0.895 0.069 F
0.634 0.895 0.431 F
0.040 0.240 0.078 F
0.040 0.240 0.422 F
0.876 0.069 0.750 F
0.372 0.523 0.750 F
0.771 0.410 0.909 F
0.771 0.410 0.591 F
0.229 0.590 0.091 F
0.229 0.590 0.409 F
0.628 0.477 0.250 F
0.124 0.931 0.250 F
0.960 0.760 0.578 F
0.960 0.760 0.922 F
0.366 0.105 0.569 F
0.366 0.105 0.931 F
```

Entry 27:
Below is crystalline K2ZrAg at its relaxed geometry, with properties calculated at the GGA-PBEsol level.

* crystal system: tetragonal
* E: -2.6650 eV/atom
* E above lowest polymorph: 235.7 meV per atom

Structure (POSCAR):
```
K2ZrAg
1.0
-0.781 1.645 -2.246
-5.924 -3.062 -0.182
-2.482 4.552 4.197
Ag K Zr
1 2 1
Direct
0.500 0.000 0.000 Ag
0.000 0.000 0.500 K
0.000 0.500 0.000 K
0.500 0.500 0.500 Zr
```